# 1
Crystalline ScIrW2 at its relaxed geometry, computed with GGA-PBE.

Cell and atoms, written as POSCAR:
```
ScIrW2
1.0
3.209 0.000 0.000
0.000 3.209 0.000
0.000 0.000 6.476
Sc Ir W
1 1 2
Direct
0.000 0.000 0.000 Sc
0.500 0.500 0.750 Ir
0.000 0.000 0.494 W
0.500 0.500 0.275 W
```

Values from the calculation:
As for the distance to the lowest polymorph of the same formula: 46 meV per atom. Its symmetry is P4mm.


# 2
Crystalline Sc2IrW at its relaxed geometry, computed with GGA-PBE.

Cell and atoms, written as POSCAR:
```
Sc2IrW
1.0
-1.945 1.945 4.689
1.945 -1.945 4.689
1.945 1.945 -4.689
Sc Ir W
2 1 1
Direct
0.000 0.000 0.000 Sc
0.750 0.250 0.500 Sc
0.500 0.500 0.000 Ir
0.250 0.750 0.500 W
```

Values from the calculation:
Its symmetry is I-4m2.


# 3
Crystalline Sc3IrW at its relaxed geometry, computed with GGA-PBE.

Cell and atoms, written as POSCAR:
```
Sc3IrW
1.0
4.891 0.000 0.000
0.000 4.891 0.000
0.000 0.000 4.891
Sc Ir W
3 1 1
Direct
0.000 0.000 0.500 Sc
0.000 0.500 0.000 Sc
0.500 0.000 0.000 Sc
0.500 0.500 0.500 Ir
0.000 0.000 0.000 W
```

Values from the calculation:
As for the distance to the lowest polymorph of the same formula: 362 meV per atom. Its symmetry is Pm-3m.


# 4
Crystalline Sc2IrW at its relaxed geometry, computed with GGA-PBE.

Cell and atoms, written as POSCAR:
```
Sc2IrW
1.0
-1.564 2.333 4.886
1.564 -2.333 4.886
1.564 2.333 -4.886
Sc Ir W
2 1 1
Direct
0.000 0.000 0.000 Sc
0.725 0.225 0.500 Sc
0.480 0.480 0.000 Ir
0.257 0.757 0.500 W
```

Values from the calculation:
Its symmetry is Imm2.


# 5
Crystalline ScIr2W at its relaxed geometry, computed with GGA-PBE.

Cell and atoms, written as POSCAR:
```
ScIr2W
1.0
2.895 0.000 0.000
0.000 2.895 0.000
0.000 0.000 7.666
Sc Ir W
1 2 1
Direct
0.000 0.000 0.000 Sc
0.500 0.500 0.264 Ir
0.500 0.500 0.736 Ir
0.000 0.000 0.500 W
```

Values from the calculation:
As for the distance to the lowest polymorph of the same formula: 0 meV per atom. Its symmetry is P4/mmm.


# 6
Crystalline ScIrW2 at its relaxed geometry, computed with GGA-PBE.

Cell and atoms, written as POSCAR:
```
ScIrW2
1.0
2.799 0.000 0.000
0.000 4.500 0.000
0.000 0.000 5.300
Sc Ir W
1 1 2
Direct
0.000 0.000 0.000 Sc
0.000 0.000 0.500 Ir
0.500 0.500 0.249 W
0.500 0.500 0.751 W
```

Values from the calculation:
As for the distance to the lowest polymorph of the same formula: 280 meV per atom. Its symmetry is Pmmm.


Electronic total energy per entry: -41.66 -34.74 -36.23 -35.58 -39.10 -40.72 eV/cell
N(E_F) per entry: 2.45 5.65 4.45 3.63 1.75 2.33 states/eV per cell